# AlAsPbSe2

Crystalline AlAsPbSe2 at its relaxed geometry (GGA-PBE, the Alexandria database).

Geometry as CIF:
```
data_AlAsPbSe2
_cell_length_a 5.002
_cell_length_b 5.002
_cell_length_c 4.898
_cell_angle_alpha 90.00
_cell_angle_beta 90.00
_cell_angle_gamma 90.00
_symmetry_space_group_name_H-M 'P 4/m m m'
_symmetry_Int_Tables_number 123
_symmetry_space_group_name_Hall '-P 4 2'
loop_
_atom_site_label
_atom_site_type_symbol
_atom_site_fract_x
_atom_site_fract_y
_atom_site_fract_z
Al1 Al 0.000 0.000 0.000
As1 As 0.000 0.000 0.500
Pb1 Pb 0.500 0.500 0.500
Se1 Se 0.000 0.500 0.000
```

Results
Offset from the most stable computed form, eV/atom: 0.0000
Uncorrected formation energy, kJ per mole of atoms: -6.3

# AlAs2PbSe

Crystalline AlAs2PbSe at its relaxed geometry (GGA-PBE, the Alexandria database).

Geometry as CIF:
```
data_AlAs2PbSe
_cell_length_a 4.901
_cell_length_b 4.901
_cell_length_c 5.079
_cell_angle_alpha 90.00
_cell_angle_beta 90.00
_cell_angle_gamma 90.00
_symmetry_space_group_name_H-M 'P 4/m m m'
_symmetry_Int_Tables_number 123
_symmetry_space_group_name_Hall '-P 4 2'
loop_
_atom_site_label
_atom_site_type_symbol
_atom_site_fract_x
_atom_site_fract_y
_atom_site_fract_z
Al1 Al 0.000 0.000 0.000
As1 As 0.000 0.500 0.000
Pb1 Pb 0.500 0.500 0.500
Se1 Se 0.000 0.000 0.500
```

Results
Offset from the most stable computed form, eV/atom: 0.0000
Uncorrected formation energy, kJ per mole of atoms: 13.6

# AlAs2PbSe

Crystalline AlAs2PbSe at its relaxed geometry (GGA-PBE, the Alexandria database).

Geometry as CIF:
```
data_AlAs2PbSe
_cell_length_a 5.228
_cell_length_b 5.228
_cell_length_c 4.833
_cell_angle_alpha 90.00
_cell_angle_beta 90.00
_cell_angle_gamma 90.00
_symmetry_space_group_name_H-M 'P 4/m m m'
_symmetry_Int_Tables_number 123
_symmetry_space_group_name_Hall '-P 4 2'
loop_
_atom_site_label
_atom_site_type_symbol
_atom_site_fract_x
_atom_site_fract_y
_atom_site_fract_z
Al1 Al 0.000 0.000 0.000
As1 As 0.000 0.500 0.500
Pb1 Pb 0.500 0.500 0.000
Se1 Se 0.000 0.000 0.500
```

Results
Offset from the most stable computed form, eV/atom: 0.3408
Uncorrected formation energy, kJ per mole of atoms: 46.5

# AlAsPbSe2

Crystalline AlAsPbSe2 at its relaxed geometry (GGA-PBE, the Alexandria database).

Geometry as CIF:
```
data_AlAsPbSe2
_cell_length_a 5.508
_cell_length_b 5.508
_cell_length_c 5.418
_cell_angle_alpha 90.00
_cell_angle_beta 90.00
_cell_angle_gamma 90.00
_symmetry_space_group_name_H-M 'P 4/m m m'
_symmetry_Int_Tables_number 123
_symmetry_space_group_name_Hall '-P 4 2'
loop_
_atom_site_label
_atom_site_type_symbol
_atom_site_fract_x
_atom_site_fract_y
_atom_site_fract_z
Al1 Al 0.000 0.000 0.000
As1 As 0.500 0.500 0.000
Pb1 Pb 0.500 0.500 0.500
Se1 Se 0.000 0.500 0.500
```

Results
Offset from the most stable computed form, eV/atom: 0.7894
Uncorrected formation energy, kJ per mole of atoms: 69.8

# AlSnAs2Pb

Crystalline AlSnAs2Pb at its relaxed geometry (GGA-PBE, the Alexandria database).

Geometry as CIF:
```
data_AlSnAs2Pb
_cell_length_a 5.483
_cell_length_b 5.483
_cell_length_c 5.235
_cell_angle_alpha 90.00
_cell_angle_beta 90.00
_cell_angle_gamma 90.00
_symmetry_space_group_name_H-M 'P 4/m m m'
_symmetry_Int_Tables_number 123
_symmetry_space_group_name_Hall '-P 4 2'
loop_
_atom_site_label
_atom_site_type_symbol
_atom_site_fract_x
_atom_site_fract_y
_atom_site_fract_z
Al1 Al 0.000 0.000 0.000
Sn1 Sn 0.500 0.500 0.000
As1 As 0.000 0.500 0.500
Pb1 Pb 0.000 0.000 0.500
```

Results
ΔE_f, meV per atom: 903

# AlV2AsPb

Crystalline AlV2AsPb at its relaxed geometry (GGA-PBE, the Alexandria database).

Geometry as CIF:
```
data_AlV2AsPb
_cell_length_a 5.209
_cell_length_b 5.209
_cell_length_c 5.351
_cell_angle_alpha 90.00
_cell_angle_beta 90.00
_cell_angle_gamma 90.00
_symmetry_space_group_name_H-M 'P 4/m m m'
_symmetry_Int_Tables_number 123
_symmetry_space_group_name_Hall '-P 4 2'
loop_
_atom_site_label
_atom_site_type_symbol
_atom_site_fract_x
_atom_site_fract_y
_atom_site_fract_z
Al1 Al 0.000 0.000 0.000
V1 V 0.000 0.500 0.500
As1 As 0.500 0.500 0.000
Pb1 Pb 0.500 0.500 0.500
```

Results
ΔE_f, meV per atom: 1577

# AlVAsPb2

Crystalline AlVAsPb2 at its relaxed geometry (GGA-PBE, the Alexandria database).

Geometry as CIF:
```
data_AlVAsPb2
_cell_length_a 5.363
_cell_length_b 5.363
_cell_length_c 4.967
_cell_angle_alpha 90.00
_cell_angle_beta 90.00
_cell_angle_gamma 90.00
_symmetry_space_group_name_H-M 'P 4/m m m'
_symmetry_Int_Tables_number 123
_symmetry_space_group_name_Hall '-P 4 2'
loop_
_atom_site_label
_atom_site_type_symbol
_atom_site_fract_x
_atom_site_fract_y
_atom_site_fract_z
Al1 Al 0.000 0.000 0.000
V1 V 0.000 0.000 0.500
As1 As 0.500 0.500 0.000
Pb1 Pb 0.000 0.500 0.500
```

Results
ΔE_f, meV per atom: 722

# AlAsPbW2

Crystalline AlAsPbW2 at its relaxed geometry (GGA-PBE, the Alexandria database).

Geometry as CIF:
```
data_AlAsPbW2
_cell_length_a 5.158
_cell_length_b 5.158
_cell_length_c 5.130
_cell_angle_alpha 90.00
_cell_angle_beta 90.00
_cell_angle_gamma 90.00
_symmetry_space_group_name_H-M 'P 4/m m m'
_symmetry_Int_Tables_number 123
_symmetry_space_group_name_Hall '-P 4 2'
loop_
_atom_site_label
_atom_site_type_symbol
_atom_site_fract_x
_atom_site_fract_y
_atom_site_fract_z
Al1 Al 0.000 0.000 0.000
As1 As 0.500 0.500 0.000
Pb1 Pb 0.500 0.500 0.500
W1 W 0.000 0.500 0.500
```

Results
ΔE_f, meV per atom: 2695

Going through the records in order, we get E_tot values of -3.880, -3.906, -3.565, -3.090, -3.248, -4.491, -4.263, -4.907 eV/atom.